Computed, not measured: a relaxed TaReGe crystal at the GGA-PBE level of DFT.

a = 4.3044 Å, b = 4.3044 Å, c = 4.3044 Å
α = 60.00°, β = 60.00°, γ = 60.00°
With the nearest neighbours (Å) after each atom.
Positions (direct):
Ta (0.0000, 0.0000, 0.0000)  4 Re 2.64
Re (0.7500, 0.7500, 0.7500)  4 Ge 2.64, 4 Ta 2.64
Ge (0.5000, 0.5000, 0.5000)  4 Re 2.64

## Properties
spin magnetization: 0.009 μB per atom
E above lowest polymorph: 0 meV per atom
SG: F-43m (216)
electronic total energy: -9.35 eV per atom